Entry from Alexandria: crystalline Sm2In2Ag at its relaxed geometry (PBE-GGA).

Lattice parameters (Å, degrees): 4.761 6.137 10.348 88.38 76.70 67.18
Positions (direct):
In  0.073  0.285  0.570
In  0.649  0.820  0.883
Sm  0.684  0.298  0.334
Ag  0.620  0.101  0.659
In  0.351  0.180  0.117
Sm  0.074  0.749  0.103
In  0.927  0.715  0.430
Ag  0.380  0.899  0.341
Sm  0.316  0.702  0.666
Sm  0.926  0.251  0.897

Summary:
The value obtained for the energy of formation is -0.4109 eV/atom. The space group is C2/m, No. 12.



Entry from Alexandria: crystalline Sm4InAg at its relaxed geometry (PBE-GGA).

Lattice parameters (Å, degrees): 5.489 6.562 11.213 90.00 104.17 90.00
Positions (direct):
Ag  0.424  0.336  0.848
Sm  0.440  0.850  0.881
Sm  0.560  0.350  0.119
Sm  0.713  0.556  0.427
In  0.846  0.815  0.691
Sm  0.879  0.302  0.757
Sm  0.287  0.056  0.573
Sm  0.304  0.574  0.607
Sm  0.121  0.802  0.243
In  0.154  0.315  0.309
Ag  0.576  0.836  0.152
Sm  0.696  0.074  0.393

Summary:
The value obtained for the energy of formation is -0.0653 eV/atom. Its energy relative to the lowest polymorph listed for this composition is 0.161 eV per atom. The space group is Cmc2_1, No. 36.



Entry from Alexandria: crystalline Sm2In8Ag at its relaxed geometry (PBE-GGA).

Lattice parameters (Å, degrees): 4.768 4.768 12.342 90.00 90.00 90.00
Positions (direct):
Sm  0.000  0.000  0.688
In  0.000  0.500  0.869
In  0.000  0.500  0.131
In  0.500  0.500  0.311
In  0.500  0.000  0.500
Sm  0.000  0.000  0.312
In  0.000  0.500  0.500
In  0.500  0.000  0.869
In  0.500  0.000  0.131
Ag  0.000  0.000  0.000
In  0.500  0.500  0.689

Summary:
The value obtained for the energy of formation is -0.3184 eV/atom. The space group is P4/mmm, No. 123.



| no. | V (A^3/atom) |
| --- | --- |
| 1 | 27.1 |
| 2 | 32.6 |
| 3 | 25.5 |